[1]
# TlCrMoF, relaxed, DFT PBE+U
# Relative energy among the computed polymorphs ... 0.314 eV per atom
data_TlCrMoF
_symmetry_space_group_name_H-M 'C 1 m 1'
_symmetry_Int_Tables_number 8
_symmetry_space_group_name_Hall 'C -2y'
_cell_length_a 11.0801
_cell_length_b 3.8897
_cell_length_c 4.3025
_cell_angle_alpha 90.00
_cell_angle_beta 112.21
_cell_angle_gamma 90.00
loop_
_atom_site_label
_atom_site_type_symbol
_atom_site_fract_x
_atom_site_fract_y
_atom_site_fract_z
Tl1 Tl 0.0000 0.0000 0.0000
Cr1 Cr 0.0332 0.5000 0.5333
Mo1 Mo 0.2668 0.0000 0.7760
F1 F 0.2984 0.0000 0.3069


[2]
# TlCrMoF, relaxed, DFT PBE+U
# Relative energy among the computed polymorphs ... 0.017 eV per atom
data_TlCrMoF
_symmetry_space_group_name_H-M 'C 1 m 1'
_symmetry_Int_Tables_number 8
_symmetry_space_group_name_Hall 'C -2y'
_cell_length_a 16.6498
_cell_length_b 3.3412
_cell_length_c 3.1574
_cell_angle_alpha 90.00
_cell_angle_beta 100.36
_cell_angle_gamma 90.00
loop_
_atom_site_label
_atom_site_type_symbol
_atom_site_fract_x
_atom_site_fract_y
_atom_site_fract_z
Tl1 Tl 0.0000 0.0000 0.0000
Cr1 Cr 0.2465 0.5000 0.7611
Mo1 Mo 0.3608 0.0000 0.3687
F1 F 0.1661 0.5000 0.1842


[3]
# Tl2CrMoF6, relaxed, DFT PBE+U
# E ... -5.14 eV/atom
data_Tl2CrMoF6
_symmetry_space_group_name_H-M 'P m m n'
_symmetry_Int_Tables_number 59
_cell_length_a 6.1452
_cell_length_b 9.3325
_cell_length_c 6.1501
_cell_angle_alpha 90.00
_cell_angle_beta 90.00
_cell_angle_gamma 90.00
loop_
_symmetry_equiv_pos_as_xyz
'x,y,z'
'-x,-y,-z'
'-x+1/2,-y+1/2,z'
'x+1/2,y+1/2,-z'
'x+1/2,-y,-z'
'-x+1/2,y,z'
'-x,y+1/2,-z'
'x,-y+1/2,z'
loop_
_atom_site_label
_atom_site_type_symbol
_atom_site_fract_x
_atom_site_fract_y
_atom_site_fract_z
Tl1 Tl 0.2500 0.0001 0.2496
Cr1 Cr 0.2500 0.2500 0.7504
Mo1 Mo 0.2500 0.7500 0.7495
F1 F 0.0020 0.7500 0.5015
F2 F 0.0020 0.7500 0.9976
F3 F 0.2500 0.0350 0.7508


[4]
# TlCrMoF, relaxed, DFT PBE+U
# Relative energy among the computed polymorphs ... 0.082 eV per atom
data_TlCrMoF
_symmetry_space_group_name_H-M 'C 1 m 1'
_symmetry_Int_Tables_number 8
_symmetry_space_group_name_Hall 'C -2y'
_cell_length_a 5.8337
_cell_length_b 3.3933
_cell_length_c 8.5524
_cell_angle_alpha 90.00
_cell_angle_beta 90.38
_cell_angle_gamma 90.00
loop_
_atom_site_label
_atom_site_type_symbol
_atom_site_fract_x
_atom_site_fract_y
_atom_site_fract_z
Tl1 Tl 0.0000 0.0000 0.0000
Cr1 Cr 0.3360 0.0000 0.5400
Mo1 Mo 0.1683 0.5000 0.3081
F1 F 0.3383 0.0000 0.7738


[5]
# TlCrMoF, relaxed, DFT PBE+U
# Relative energy among the computed polymorphs ... 0.000 eV per atom
data_TlCrMoF
_symmetry_space_group_name_H-M 'I m m 2'
_symmetry_Int_Tables_number 44
_symmetry_space_group_name_Hall 'I 2 -2'
_cell_length_a 3.3596
_cell_length_b 4.6287
_cell_length_c 10.3871
_cell_angle_alpha 90.00
_cell_angle_beta 90.00
_cell_angle_gamma 90.00
loop_
_atom_site_label
_atom_site_type_symbol
_atom_site_fract_x
_atom_site_fract_y
_atom_site_fract_z
Tl1 Tl 0.0000 0.0000 0.0000
Cr1 Cr 0.0000 0.0000 0.7132
Mo1 Mo 0.0000 0.0000 0.2893
F1 F 0.0000 0.0000 0.5092


[6]
# TlCrMoF, relaxed, DFT PBE+U
# Relative energy among the computed polymorphs ... 0.177 eV per atom
data_TlCrMoF
_symmetry_space_group_name_H-M 'P 1'
_symmetry_Int_Tables_number 1
_symmetry_space_group_name_Hall 'P 1'
_cell_length_a 3.3380
_cell_length_b 5.2534
_cell_length_c 5.3614
_cell_angle_alpha 66.31
_cell_angle_beta 81.56
_cell_angle_gamma 83.66
loop_
_atom_site_label
_atom_site_type_symbol
_atom_site_fract_x
_atom_site_fract_y
_atom_site_fract_z
Tl1 Tl 0.0000 0.0000 0.0000
Cr1 Cr 0.6949 0.7228 0.7122
Mo1 Mo 0.2737 0.3025 0.2995
F1 F 0.2965 0.5479 0.5459


[7]
# YCr2MoF, relaxed, DFT PBE+U
# E ... -5.88 eV/atom
data_YCr2MoF
_symmetry_space_group_name_H-M 'P 4/m m m'
_symmetry_Int_Tables_number 123
_symmetry_space_group_name_Hall '-P 4 2'
_cell_length_a 4.8851
_cell_length_b 4.8851
_cell_length_c 4.4750
_cell_angle_alpha 90.00
_cell_angle_beta 90.00
_cell_angle_gamma 90.00
loop_
_atom_site_label
_atom_site_type_symbol
_atom_site_fract_x
_atom_site_fract_y
_atom_site_fract_z
Y1 Y 0.0000 0.0000 0.0000
Cr1 Cr 0.0000 0.5000 0.5000
Mo1 Mo 0.5000 0.5000 0.0000
F1 F 0.0000 0.0000 0.5000


[8]
# CrNF4, relaxed, DFT PBE+U
# E ... -5.04 eV/atom
data_CrNF4
_symmetry_space_group_name_H-M 'P 4/n m m'
_symmetry_Int_Tables_number 129
_cell_length_a 7.4017
_cell_length_b 7.4017
_cell_length_c 6.5222
_cell_angle_alpha 90.00
_cell_angle_beta 90.00
_cell_angle_gamma 90.00
loop_
_symmetry_equiv_pos_as_xyz
'x,y,z'
'-x,-y,-z'
'-y+1/2,x,z'
'y+1/2,-x,-z'
'-x+1/2,-y+1/2,z'
'x+1/2,y+1/2,-z'
'y,-x+1/2,z'
'-y,x+1/2,-z'
'x+1/2,-y,-z'
'-x+1/2,y,z'
'-y,-x,-z'
'y,x,z'
'-x,y+1/2,-z'
'x,-y+1/2,z'
'y+1/2,x+1/2,-z'
'-y+1/2,-x+1/2,z'
loop_
_atom_site_label
_atom_site_type_symbol
_atom_site_fract_x
_atom_site_fract_y
_atom_site_fract_z
Cr1 Cr 0.0000 0.0000 0.0000
N1 N 0.2500 0.2500 0.2890
N2 N 0.2500 0.7500 0.5000
F1 F 0.0113 0.7500 0.0937
F2 F 0.0792 0.0792 0.2710


[9]
# CrNF, relaxed, DFT PBE+U
# E ... -6.74 eV/atom
data_CrNF
_symmetry_space_group_name_H-M 'P 42/m m c'
_symmetry_Int_Tables_number 131
_symmetry_space_group_name_Hall '-P 4c 2'
_cell_length_a 6.1504
_cell_length_b 6.1504
_cell_length_c 3.9022
_cell_angle_alpha 90.00
_cell_angle_beta 90.00
_cell_angle_gamma 90.00
loop_
_atom_site_label
_atom_site_type_symbol
_atom_site_fract_x
_atom_site_fract_y
_atom_site_fract_z
Cr1 Cr 0.0000 0.2496 0.0000
N1 N 0.0000 0.2168 0.5000
F1 F 0.2040 0.5000 0.0000


[10]
# CrNF2, relaxed, DFT PBE+U
# Relative energy among the computed polymorphs ... 0.875 eV per atom
data_CrNF2
_symmetry_space_group_name_H-M 'F m -3 m'
_symmetry_Int_Tables_number 225
_symmetry_space_group_name_Hall '-F 4 2 3'
_cell_length_a 5.4994
_cell_length_b 5.4994
_cell_length_c 5.4994
_cell_angle_alpha 90.00
_cell_angle_beta 90.00
_cell_angle_gamma 90.00
loop_
_atom_site_label
_atom_site_type_symbol
_atom_site_fract_x
_atom_site_fract_y
_atom_site_fract_z
Cr1 Cr 0.0000 0.0000 0.0000
N1 N 0.0000 0.0000 0.5000
F1 F 0.2500 0.2500 0.2500


[11]
# CrNF2, relaxed, DFT PBE+U
# Relative energy among the computed polymorphs ... 0.701 eV per atom
data_CrNF2
_symmetry_space_group_name_H-M 'R -3 m'
_symmetry_Int_Tables_number 166
_symmetry_space_group_name_Hall '-R 3 2"'
_cell_length_a 3.3147
_cell_length_b 3.3147
_cell_length_c 23.0912
_cell_angle_alpha 90.00
_cell_angle_beta 90.00
_cell_angle_gamma 120.00
loop_
_atom_site_label
_atom_site_type_symbol
_atom_site_fract_x
_atom_site_fract_y
_atom_site_fract_z
Cr1 Cr 0.0000 0.0000 0.0000
N1 N 0.0000 0.0000 0.5000
F1 F 0.0000 0.0000 0.0793


[12]
# CrNF2, relaxed, DFT PBE+U
# Relative energy among the computed polymorphs ... 0.000 eV per atom
data_CrNF2
_symmetry_space_group_name_H-M 'R -3 m'
_symmetry_Int_Tables_number 166
_symmetry_space_group_name_Hall '-R 3 2"'
_cell_length_a 3.3454
_cell_length_b 3.3454
_cell_length_c 23.0905
_cell_angle_alpha 90.00
_cell_angle_beta 90.00
_cell_angle_gamma 120.00
loop_
_atom_site_label
_atom_site_type_symbol
_atom_site_fract_x
_atom_site_fract_y
_atom_site_fract_z
Cr1 Cr 0.0000 0.0000 0.0000
N1 N 0.0000 0.0000 0.5000
F1 F 0.0000 0.0000 0.3716


| no. | magnetization (Bohr magnetons per cell) |
| --- | --- |
| 1 | 13.2 |
| 2 | 0.3 |
| 3 | 16.0 |
| 4 | 1.1 |
| 5 | 0.6 |
| 6 | 8.6 |
| 7 | 11.8 |
| 8 | 20.0 |
| 9 | 8.0 |
| 10 | 12.0 |
| 11 | 20.5 |
| 12 | 20.7 |